No. 1
PBE Ti4TlGa, optimized geometry; M_tot = 0.0000 μB/atom; space group = No. 15; formation enthalpy at 0 K = -93 meV per atom
1.0
-1.186 -5.825 -4.275
6.090 -6.427 -3.212
-3.114 3.872 6.999
Ti Tl Ga
8 2 2
Cartesian
-1.076 -0.314 2.054
-0.183 -4.866 -0.917
2.866 -8.066 -2.541
3.448 -9.577 -5.086
0.638 -6.356 -3.427
1.152 -2.024 2.940
-1.658 1.197 4.598
1.973 -3.515 0.429
-0.412 -1.849 -0.501
2.202 -6.531 0.013
-0.862 -3.380 1.710
2.652 -5.000 -2.198



No. 2
PBE LiBeAg2, optimized geometry; M_tot = 0.0000 μB/atom; space group = No. 25; formation enthalpy at 0 K = 75 meV per atom
1.0
-0.974 -2.582 0.942
1.207 -1.549 -2.997
4.903 -0.951 2.466
Be Ag Li
1 2 1
Cartesian
2.391 -0.464 1.203
1.557 -2.345 -0.303
4.775 -0.926 2.402
3.767 -2.773 0.809



No. 3
PBE ThTlHg2, optimized geometry; M_tot = 0.0000 μB/atom; space group = No. 160; formation enthalpy at 0 K = 33 meV per atom
1.0
-3.889 2.380 -1.430
-2.887 -1.903 -3.298
-5.514 -2.519 2.819
Tl Hg Th
1 2 1
Cartesian
-6.232 -1.092 -0.838
-3.071 -0.509 -0.479
-4.692 -1.843 1.710
-9.954 -2.137 -0.437



No. 4
PBE Sr3Al3Ag8, optimized geometry; M_tot = 0.0000 μB/atom; space group = No. 12; formation enthalpy at 0 K = -230 meV per atom
1.0
-3.274 1.910 2.849
-7.702 -1.790 -3.706
-4.366 -6.895 3.552
Ag Al Sr
8 3 3
Cartesian
-11.094 -2.615 0.842
-8.186 -2.388 0.085
-2.593 -1.280 1.824
-4.248 -4.158 1.852
-7.156 -4.386 2.610
-9.794 -4.920 3.881
-5.548 -1.854 -1.187
-12.749 -5.494 0.870
-11.636 -6.740 2.985
-3.706 -0.034 -0.291
-6.034 -4.342 -0.077
0.000 0.000 0.000
-5.810 -1.332 2.108
-9.532 -5.442 0.586



No. 5
PBE Er6In5Hg, optimized geometry; M_tot = 0.0000 μB/atom; space group = No. 65; formation enthalpy at 0 K = -448 meV per atom
1.0
5.021 -0.030 1.673
0.040 7.381 0.013
-0.003 -0.015 8.379
Er In Hg
6 5 1
Cartesian
2.520 1.810 0.840
4.200 1.804 4.170
2.540 5.540 0.847
0.837 1.819 5.889
0.857 5.531 5.896
4.220 5.516 4.176
3.368 3.660 6.698
1.675 -0.015 3.344
1.689 3.675 3.367
3.343 -0.030 6.709
0.020 3.690 0.007
0.000 0.000 0.000



No. 6
PBE KU2AgS5, optimized geometry; raw total energy = -6.41 eV/atom; M_tot = 0.4446 μB/atom; space group = No. 140
1.0
-4.976 2.292 5.207
3.666 -3.999 5.264
4.898 6.696 -3.752
S Ag K U
10 2 2 4
Cartesian
2.701 5.561 -1.484
-0.231 1.573 2.956
2.623 -0.897 4.519
5.555 3.091 0.079
-1.967 1.898 6.640
3.819 3.417 3.763
-0.655 -0.853 5.236
0.000 0.000 0.000
0.965 5.886 2.200
0.887 -0.571 8.203
3.955 0.922 3.373
-0.367 4.067 3.345
1.466 2.068 5.977
2.122 2.921 0.742
-2.699 0.871 4.292
1.389 -2.578 6.179
0.440 -0.985 2.623
-1.750 -0.722 7.848



No. 7
PBE MgCoIr2, optimized geometry; M_tot = 0.1114 μB/atom; space group = No. 123; formation enthalpy at 0 K = -90 meV per atom
1.0
-0.674 0.143 -2.649
-0.622 -2.666 0.015
-7.058 1.658 1.886
Ir Mg Co
2 1 1
Cartesian
-6.872 1.615 1.836
-3.715 0.873 0.993
-2.413 -0.847 -0.846
-5.942 -0.018 0.097



No. 8
PBE YMgRe2, optimized geometry; M_tot = 0.0000 μB/atom; space group = No. 6; formation enthalpy at 0 K = 286 meV per atom
1.0
4.288 0.000 0.000
0.000 2.977 0.000
0.000 1.577 6.009
Mg Y Re
1 1 2
Cartesian
2.144 3.591 4.720
0.000 2.246 2.910
2.144 0.912 1.199
0.000 0.082 0.185



No. 9
PBE YTm12Ni6, optimized geometry; M_tot = 0.0000 μB/atom; space group = No. 204; formation enthalpy at 0 K = -262 meV per atom
1.0
7.928 0.000 -2.803
-3.964 6.866 -2.803
0.000 0.000 8.409
Tm Ni Y
12 6 1
Cartesian
5.236 2.132 -2.095
2.003 5.998 -2.832
3.735 4.733 0.029
-1.272 4.733 4.898
-2.232 5.601 -0.029
0.771 5.601 2.095
0.229 2.132 2.774
3.193 1.265 0.708
3.463 3.468 3.511
6.196 1.265 2.832
0.501 3.397 -0.708
1.961 0.868 5.635
5.454 2.580 0.696
2.967 3.433 -2.107
-1.490 4.286 2.107
0.492 6.013 -0.696
3.472 0.853 3.499
0.997 3.433 4.910
0.000 0.000 0.000



No. 10
PBE LiAl3Zn, optimized geometry; M_tot = 0.0000 μB/atom; space group = No. 14; distance to the lowest polymorph of the same formula = 0 meV per atom; formation enthalpy at 0 K = -26 meV per atom
1.0
-1.052 -4.937 2.344
2.303 -3.379 -6.084
6.736 0.884 4.887
Al Zn Li
12 4 4
Cartesian
1.979 -6.690 -3.249
0.944 -5.750 1.526
7.589 -2.023 2.470
5.354 -6.215 -0.821
4.225 -2.450 0.019
2.632 -1.216 1.967
6.007 -0.742 4.395
7.042 -1.681 -0.380
3.148 -4.592 -1.652
0.397 -5.408 -1.324
4.838 -2.840 2.798
3.761 -4.982 1.127
2.389 -4.129 -4.275
5.764 -3.652 -1.847
5.597 -3.303 5.421
2.222 -3.780 2.994
1.451 -3.260 0.390
6.535 -4.172 0.756
5.344 -0.351 1.663
2.642 -7.081 -0.516



No. 11
PBE CsInSnH, optimized geometry; raw total energy = -2.83 eV/atom; M_tot = 0.0000 μB/atom; space group = No. 42
1.0
-5.453 0.335 1.349
-2.640 -2.471 1.679
-0.932 2.743 7.291
Cs H Sn In
1 1 1 1
Cartesian
-3.627 0.893 8.593
-6.646 0.640 8.188
-4.685 -0.629 4.694
-7.107 -0.023 6.490



No. 12
PBE LaCoIr, optimized geometry; M_tot = 0.2980 μB/atom; space group = No. 216; formation enthalpy at 0 K = 689 meV per atom
1.0
4.508 0.000 0.000
2.254 3.904 0.000
2.254 1.301 3.681
Ir Co La
1 1 1
Cartesian
4.508 2.603 1.840
0.000 0.000 0.000
6.762 3.904 2.760